Entry from the Alexandria database: NaTaCu2Pt after structural relaxation (PBE-GGA).

## Properties
The final energy is -23.26 eV/f.u. The space group is No. 123. For the density, the calculation gives 7.36 g cm⁻³. The value obtained for the total magnetic moment is 0.000 μB/atom.

Unit cell a=4.904 b=4.933 c=4.904 alpha=90.00 beta=90.00 gamma=90.00
Positions (direct):
Na: 0.500 0.500 0.500
Cu: 0.000 0.000 0.500
Cu: 0.500 0.000 0.000
Pt: 0.000 0.500 0.000
Ta: 0.000 0.000 0.000

=====

Entry from the Alexandria database: CoOsAu2 after structural relaxation (PBE-GGA).

## Properties
The space group is No. 47. For the density, the calculation gives 16.97 g cm⁻³. The offset from the most stable computed form is 365 meV/atom. The value obtained for the total magnetic moment is 0.531 μB/atom.

Unit cell a=2.748 b=4.720 c=4.852 alpha=90.00 beta=90.00 gamma=90.00
Last column: magnetic moment on the atom in μB.
Positions (direct):
Au: 0.000 0.000 0.000  0.01
Au: 0.500 0.500 0.000  -0.01
Co: 0.500 0.000 0.500  1.71
Os: 0.000 0.500 0.500  0.43

=====

Entry from the Alexandria database: Pa2Al3Co2 after structural relaxation (PBE-GGA).

## Properties
The final energy is -47.16 eV/f.u. The space group is No. 12. For the density, the calculation gives 8.94 g cm⁻³. The value obtained for the total magnetic moment is 0.000 μB/atom.

Unit cell a=4.138 b=4.939 c=6.627 alpha=93.58 beta=90.00 gamma=114.76
Positions (direct):
Pa: 0.623 0.245 0.361
Pa: 0.377 0.755 0.639
Al: 0.314 0.629 0.132
Al: 0.000 0.000 0.000
Al: 0.686 0.371 0.868
Co: 0.106 0.212 0.656
Co: 0.894 0.788 0.344

=====

Entry from the Alexandria database: Ac4SnB3Rh12 after structural relaxation (PBE-GGA).

## Properties
The final energy is -139.43 eV/f.u. The space group is No. 229. For the density, the calculation gives 10.55 g cm⁻³. The value obtained for the total magnetic moment is 0.000 μB/atom.

Unit cell a=7.770 b=7.770 c=7.770 alpha=109.47 beta=109.47 gamma=109.47
Positions (direct):
Ac: 0.500 0.500 0.500
Ac: 0.000 0.000 0.500
Ac: 0.500 0.000 0.000
Ac: 0.000 0.500 0.000
Sn: 0.000 0.000 0.000
B: 0.500 0.000 0.500
B: 0.500 0.500 0.000
B: 0.000 0.500 0.500
Rh: 0.250 0.500 0.750
Rh: 0.719 0.000 0.719
Rh: 0.281 0.000 0.281
Rh: 0.750 0.500 0.250
Rh: 0.719 0.719 0.000
Rh: 0.281 0.281 0.000
Rh: 0.750 0.250 0.500
Rh: 0.250 0.750 0.500
Rh: 0.500 0.250 0.750
Rh: 0.000 0.719 0.719
Rh: 0.500 0.750 0.250
Rh: 0.000 0.281 0.281

=====

Entry from the Alexandria database: Nd2TmCd after structural relaxation (PBE-GGA).

## Properties
The space group is No. 160. For the density, the calculation gives 7.57 g cm⁻³. The offset from the most stable computed form is 117 meV/atom. The value obtained for the total magnetic moment is 0.000 μB/atom.

Unit cell a=3.595 b=3.595 c=11.362 alpha=80.90 beta=80.90 gamma=60.00
Positions (direct):
Nd: 0.087 0.087 0.740
Nd: 0.247 0.247 0.260
Tm: 0.667 0.667 0.999
Cd: 0.500 0.500 0.500

=====

Entry from the Alexandria database: In6Ag2Hg after structural relaxation (PBE-GGA).

## Properties
The final energy is -22.27 eV/f.u. The space group is No. 58. For the density, the calculation gives 8.20 g cm⁻³. The value obtained for the total magnetic moment is 0.000 μB/atom.

Unit cell a=3.651 b=13.524 c=9.062 alpha=90.00 beta=90.00 gamma=90.00
Positions (direct):
In: 0.000 0.052 0.158
In: 0.000 0.641 0.686
In: 0.000 0.672 0.064
In: 0.500 0.172 0.436
In: 0.500 0.141 0.814
In: 0.500 0.552 0.342
In: 0.000 0.948 0.842
In: 0.000 0.359 0.314
In: 0.000 0.328 0.936
In: 0.500 0.828 0.564
In: 0.500 0.859 0.186
In: 0.500 0.448 0.658
Ag: 0.000 0.279 0.630
Ag: 0.500 0.779 0.870
Ag: 0.500 0.221 0.130
Ag: 0.000 0.721 0.370
Hg: 0.500 0.500 0.000
Hg: 0.000 0.000 0.500

=====

Entry from the Alexandria database: CsTaTl3 after structural relaxation (PBE-GGA).

## Properties
The space group is No. 221. For the density, the calculation gives 8.60 g cm⁻³. The offset from the most stable computed form is 0 meV/atom. The value obtained for the total magnetic moment is 0.000 μB/atom.

Unit cell a=5.635 b=5.635 c=5.635 alpha=90.00 beta=90.00 gamma=90.00
Positions (direct):
Cs: 0.500 0.500 0.500
Tl: 0.000 0.500 0.000
Tl: 0.000 0.000 0.500
Tl: 0.500 0.000 0.000
Ta: 0.000 0.000 0.000

=====

Entry from the Alexandria database: Dy5BiRu2 after structural relaxation (PBE-GGA).

## Properties
The final energy is -49.37 eV/f.u. The space group is No. 140. For the density, the calculation gives 9.78 g cm⁻³. The value obtained for the total magnetic moment is 0.000 μB/atom.

Unit cell a=7.755 b=7.755 c=8.820 alpha=116.08 beta=116.08 gamma=90.00
Positions (direct):
Dy: 0.525 0.714 0.740
Dy: 0.786 0.975 0.260
Dy: 0.000 0.000 0.000
Dy: 0.500 0.500 0.000
Dy: 0.214 0.025 0.740
Dy: 0.714 0.214 0.740
Dy: 0.025 0.525 0.740
Dy: 0.286 0.786 0.260
Dy: 0.975 0.475 0.260
Dy: 0.475 0.286 0.260
Bi: 0.750 0.750 0.500
Bi: 0.250 0.250 0.500
Ru: 0.143 0.357 0.000
Ru: 0.643 0.143 0.000
Ru: 0.357 0.857 0.000
Ru: 0.857 0.643 0.000